# CuBiOsW | OQMD | PBE-GGA | optimized geometry
data_CuBiOsW
_cell_length_a 6.4894
_cell_length_b 6.4894
_cell_length_c 6.4894
_cell_angle_alpha 90.00
_cell_angle_beta 90.00
_cell_angle_gamma 90.00
_symmetry_space_group_name_H-M 'F -4 3 m'
_symmetry_Int_Tables_number 216
_symmetry_space_group_name_Hall 'F -4 2 3'
loop_
_atom_site_label
_atom_site_type_symbol
_atom_site_fract_x
_atom_site_fract_y
_atom_site_fract_z
Cu1 Cu 0.0000 0.0000 0.0000
Bi1 Bi 0.2500 0.2500 0.7500
Os1 Os 0.2500 0.2500 0.2500
W1 W 0.0000 0.0000 0.5000
# polymorph energy (0 for the lowest one) = 22 meV per atom